## TiGa2PN (GGA-PBEsol)

Data for an optimized crystal structure of TiGa2PN.

a = 4.215 Å, b = 4.215 Å, c = 4.052 Å
α = 90.00°, β = 90.00°, γ = 90.00°
Space group P4/mmm (No. 123)
Inequivalent atoms, fractional coordinates:
Ti 0.000 0.000 0.000 x1
Ga 0.000 0.500 0.500 x2
P 0.500 0.500 0.000 x1
N 0.000 0.000 0.500 x1

Its crystal system is tetragonal. The calculation puts the density of states at the Fermi level at 3.216 states/eV/cell. The calculation puts the formation energy from raw total energies at -0.028 eV per atom. The total energy is -29.46 eV/cell.

## SrSeBr (GGA-PBEsol)

Data for an optimized crystal structure of SrSeBr.

a = 7.196 Å, b = 7.196 Å, c = 7.196 Å
α = 90.00°, β = 90.00°, γ = 90.00°
Space group F-43m (No. 216)
Inequivalent atoms, fractional coordinates:
Sr 0.000 0.000 0.000 x4
Se 0.000 0.000 0.500 x4
Br 0.250 0.250 0.250 x4

Its crystal system is cubic. The calculation puts the density of states at the Fermi level at 19.284 states/eV/cell. The calculation puts the formation energy from raw total energies at -1.012 eV per atom. The total energy is -42.39 eV/cell.

## TaSiSe2 (GGA-PBEsol)

Data for an optimized crystal structure of TaSiSe2.

a = 3.631 Å, b = 3.658 Å, c = 12.572 Å
α = 90.00°, β = 90.00°, γ = 90.00°
Space group Immm (No. 71)
Inequivalent atoms, fractional coordinates:
Ta 0.000 0.000 0.000 x2
Si 0.000 0.000 0.500 x2
Se 0.000 0.500 0.154 x4

Its crystal system is orthorhombic. The calculation puts the density of states at the Fermi level at 4.042 states/eV/cell. The calculation puts the formation energy from raw total energies at -0.212 eV per atom. The total energy is -53.70 eV/cell.

## Si2TeP (GGA-PBEsol)

Data for an optimized crystal structure of Si2TeP.

a = 5.788 Å, b = 7.086 Å, c = 3.564 Å
α = 90.00°, β = 90.00°, γ = 90.00°
Space group Cmmm (No. 65)
Inequivalent atoms, fractional coordinates:
Si 0.250 0.250 0.000 x4
Te 0.000 0.000 0.500 x2
P 0.000 0.500 0.500 x2

Its crystal system is orthorhombic. The calculation puts the density of states at the Fermi level at 4.412 states/eV/cell. The calculation puts the formation energy from raw total energies at 0.612 eV per atom. The total energy is -36.73 eV/cell. The excess energy over the best structure of this formula in the dataset comes out at 331.2 meV/atom.

## Na2CaFeAs (GGA-PBEsol)

Data for an optimized crystal structure of Na2CaFeAs.

a = 5.426 Å, b = 5.426 Å, c = 4.485 Å
α = 90.00°, β = 90.00°, γ = 90.00°
Space group P4/mmm (No. 123)
Inequivalent atoms, fractional coordinates:
Na 0.000 0.500 0.000 x2
Ca 0.000 0.000 0.500 x1
Fe 0.500 0.500 0.500 x1
As 0.500 0.500 0.000 x1

Its crystal system is tetragonal. The calculation puts the density of states at the Fermi level at 5.799 states/eV/cell. The total energy is -17.80 eV/cell.

## IrOs2Pb (GGA-PBEsol)

Data for an optimized crystal structure of IrOs2Pb.

a = 2.8532 Å, b = 2.8532 Å, c = 27.7906 Å
α = 90.00°, β = 90.00°, γ = 120.00°
Space group R3m (No. 160, hexagonal axes)
Inequivalent atoms, fractional coordinates:
Ir 0.0000 0.0000 0.0000 x3
Os 0.0000 0.0000 0.4838 x3
Os 0.0000 0.0000 0.7437 x3
Pb 0.0000 0.0000 0.2430 x3

Its crystal system is trigonal. The calculation puts the density of states at the Fermi level at 10.477 states/eV/cell. The total energy is -106.61 eV/cell.

## Ca2NF (GGA-PBEsol)

Data for an optimized crystal structure of Ca2NF.

a = 5.936 Å, b = 5.936 Å, c = 5.936 Å
α = 90.00°, β = 90.00°, γ = 90.00°
Space group Fm-3m (No. 225)
Inequivalent atoms, fractional coordinates:
Ca 0.250 0.250 0.250 x8
N 0.000 0.000 0.000 x4
F 0.000 0.000 0.500 x4

Its crystal system is cubic. The calculation puts the density of states at the Fermi level at 0.000 states/eV/cell. The calculation puts the formation energy from raw total energies at -1.801 eV per atom. The total energy is -87.70 eV/cell.

## BePdN2F (GGA-PBEsol)

Data for an optimized crystal structure of BePdN2F.

a = 3.645 Å, b = 3.645 Å, c = 3.218 Å
α = 90.00°, β = 90.00°, γ = 90.00°
Space group P4/mmm (No. 123)
Inequivalent atoms, fractional coordinates:
Be 0.000 0.000 0.000 x1
Pd 0.500 0.500 0.500 x1
N 0.000 0.500 0.000 x2
F 0.000 0.000 0.500 x1

Its crystal system is tetragonal. The calculation puts the density of states at the Fermi level at 3.111 states/eV/cell. The calculation puts the formation energy from raw total energies at 0.381 eV per atom. The total energy is -27.03 eV/cell.

## As2P (GGA-PBEsol)

Data for an optimized crystal structure of As2P.

a = 7.593 Å, b = 7.593 Å, c = 7.593 Å
α = 90.00°, β = 90.00°, γ = 90.00°
Space group Fd-3m (No. 227, origin choice 2)
Inequivalent atoms, fractional coordinates:
As 0.000 0.000 0.000 x16
P 0.125 0.125 0.625 x8

Its crystal system is cubic. The calculation puts the density of states at the Fermi level at 17.132 states/eV/cell. The total energy is -107.81 eV/cell. The excess energy over the best structure of this formula in the dataset comes out at 733.6 meV/atom.

## MgReMo (GGA-PBEsol)

Data for an optimized crystal structure of MgReMo.

a = 6.036 Å, b = 6.036 Å, c = 6.036 Å
α = 90.00°, β = 90.00°, γ = 90.00°
Space group F-43m (No. 216)
Inequivalent atoms, fractional coordinates:
Mg 0.000 0.000 0.000 x4
Re 0.250 0.250 0.250 x4
Mo 0.000 0.000 0.500 x4

Its crystal system is cubic. The calculation puts the density of states at the Fermi level at 13.395 states/eV/cell. The total energy is -96.86 eV/cell. The excess energy over the best structure of this formula in the dataset comes out at 612.2 meV/atom.

## TaNbCr2F (GGA-PBEsol)

Data for an optimized crystal structure of TaNbCr2F.

a = 4.676 Å, b = 4.676 Å, c = 3.833 Å
α = 90.00°, β = 90.00°, γ = 90.00°
Space group P4/mmm (No. 123)
Inequivalent atoms, fractional coordinates:
Ta 0.000 0.000 0.000 x1
Nb 0.500 0.500 0.500 x1
Cr 0.000 0.500 0.000 x2
F 0.000 0.000 0.500 x1

Its crystal system is tetragonal. The calculation puts the density of states at the Fermi level at 4.447 states/eV/cell. The calculation puts the formation energy from raw total energies at 0.823 eV per atom. The total energy is -41.67 eV/cell.

## Mg2TiI (GGA-PBEsol)

Data for an optimized crystal structure of Mg2TiI.

a = 7.312 Å, b = 7.312 Å, c = 7.312 Å
α = 90.00°, β = 90.00°, γ = 90.00°
Space group Fm-3m (No. 225)
Inequivalent atoms, fractional coordinates:
Mg 0.250 0.250 0.250 x8
Ti 0.000 0.000 0.000 x4
I 0.000 0.000 0.500 x4

Its crystal system is cubic. The calculation puts the density of states at the Fermi level at 21.524 states/eV/cell. The calculation puts the formation energy from raw total energies at 0.590 eV per atom. The total energy is -44.66 eV/cell.

## CdHgF2 (GGA-PBEsol)

Data for an optimized crystal structure of CdHgF2.

a = 3.4579 Å, b = 3.4579 Å, c = 25.1131 Å
α = 90.00°, β = 90.00°, γ = 120.00°
Space group R-3m (No. 166, hexagonal axes)
Inequivalent atoms, fractional coordinates:
Cd 0.0000 0.0000 0.0000 x3
Hg 0.0000 0.0000 0.5000 x3
F 0.0000 0.0000 0.3744 x6

Its crystal system is trigonal. The calculation puts the density of states at the Fermi level at 1.591 states/eV/cell. The calculation puts the formation energy from raw total energies at -1.486 eV per atom. The total energy is -34.68 eV/cell.

## Y4MnS7 (GGA-PBEsol)

Data for an optimized crystal structure of Y4MnS7.

a = 12.345 Å, b = 3.761 Å, c = 11.280 Å
α = 90.00°, β = 105.30°, γ = 90.00°
Space group Cm (No. 8)
Inequivalent atoms, fractional coordinates:
Y 0.000 0.000 0.000 x2
Y 0.078 0.500 0.359 x2
Y 0.193 0.500 0.801 x2
Y 0.385 0.000 0.593 x2
Mn 0.309 0.500 0.217 x2
S 0.032 0.000 0.742 x2
S 0.160 0.500 0.022 x2
S 0.199 0.000 0.289 x2
S 0.228 0.500 0.579 x2
S 0.355 0.000 0.845 x2
S 0.420 0.000 0.145 x2
S 0.448 0.500 0.433 x2

Its crystal system is monoclinic. The calculation puts the density of states at the Fermi level at 3.883 states/eV/cell. The calculation puts the formation energy from raw total energies at -1.836 eV per atom. The total energy is -179.55 eV/cell.

## La2TeW (GGA-PBEsol)

Data for an optimized crystal structure of La2TeW.

a = 4.625 Å, b = 4.128 Å, c = 11.371 Å
α = 90.00°, β = 90.00°, γ = 90.00°
Space group Amm2 (No. 38)
Inequivalent atoms, fractional coordinates:
La 0.000 0.000 0.000 x2
La 0.500 0.000 0.285 x2
Te 0.500 0.000 0.574 x2
W 0.000 0.000 0.718 x2

Its crystal system is orthorhombic. The calculation puts the density of states at the Fermi level at 8.377 states/eV/cell. The calculation puts the formation energy from raw total energies at -0.120 eV per atom. The total energy is -57.01 eV/cell.

## SrFe2Ni2 (GGA-PBEsol)

Data for an optimized crystal structure of SrFe2Ni2.

a = 4.132 Å, b = 4.132 Å, c = 9.331 Å
α = 90.00°, β = 90.00°, γ = 90.00°
Space group I4/mmm (No. 139)
Inequivalent atoms, fractional coordinates:
Sr 0.000 0.000 0.000 x2
Fe 0.000 0.000 0.371 x4
Ni 0.000 0.500 0.250 x4

Its crystal system is tetragonal. The calculation puts the density of states at the Fermi level at 8.603 states/eV/cell. The total energy is -60.73 eV/cell.

## Sn3Ru2 (GGA-PBEsol)

Data for an optimized crystal structure of Sn3Ru2.

a = 6.157 Å, b = 6.157 Å, c = 9.883 Å
α = 90.00°, β = 90.00°, γ = 90.00°
Space group P-4c2 (No. 116)
Inequivalent atoms, fractional coordinates:
Sn 0.157 0.279 0.416 x8
Sn 0.322 0.322 0.750 x4
Ru 0.000 0.000 0.250 x2
Ru 0.000 0.500 0.125 x4
Ru 0.500 0.500 0.000 x2

Its crystal system is tetragonal. The calculation puts the density of states at the Fermi level at 0.769 states/eV/cell. The total energy is -136.12 eV/cell.

## RuPtPb2S (GGA-PBEsol)

Data for an optimized crystal structure of RuPtPb2S.

a = 5.291 Å, b = 5.291 Å, c = 4.202 Å
α = 90.00°, β = 90.00°, γ = 90.00°
Space group P4/mmm (No. 123)
Inequivalent atoms, fractional coordinates:
Ru 0.000 0.000 0.000 x1
Pt 0.500 0.500 0.500 x1
Pb 0.000 0.500 0.000 x2
S 0.000 0.000 0.500 x1

Its crystal system is tetragonal. The calculation puts the density of states at the Fermi level at 2.663 states/eV/cell. The calculation puts the formation energy from raw total energies at 0.465 eV per atom. The total energy is -27.19 eV/cell.

## TiMn2Mo (GGA-PBEsol)

Data for an optimized crystal structure of TiMn2Mo.

a = 5.876 Å, b = 5.876 Å, c = 5.876 Å
α = 90.00°, β = 90.00°, γ = 90.00°
Space group Fm-3m (No. 225)
Inequivalent atoms, fractional coordinates:
Ti 0.000 0.000 0.000 x4
Mn 0.250 0.250 0.250 x8
Mo 0.000 0.000 0.500 x4

Its crystal system is cubic. The calculation puts the density of states at the Fermi level at 4.246 states/eV/cell. The total energy is -161.49 eV/cell.

## SrTc2Mo (GGA-PBEsol)

Data for an optimized crystal structure of SrTc2Mo.

a = 9.588 Å, b = 3.131 Å, c = 5.657 Å
α = 90.00°, β = 105.07°, γ = 90.00°
Space group Cm (No. 8)
Inequivalent atoms, fractional coordinates:
Sr 0.000 0.000 0.000 x2
Tc 0.004 0.500 0.509 x2
Tc 0.217 0.000 0.640 x2
Mo 0.295 0.500 0.369 x2

Its crystal system is monoclinic. The calculation puts the density of states at the Fermi level at 6.524 states/eV/cell. The total energy is -66.69 eV/cell. The excess energy over the best structure of this formula in the dataset comes out at 44.4 meV/atom.